The following is a DFT calculation (PBE with a Hubbard U) of crystalline YPuMn2O8 at its relaxed geometry.

Symmetry: I-4m2, No. 119
Density of states at the Fermi level, states/eV per cell: 4.75
DFT total energy, eV per atom: -8.368
Magnetic moment, μB/f.u.: 9.0

Unit cell a=5.962 b=5.962 c=5.962 alpha=108.27 beta=108.27 gamma=111.90
Fractional positions:
O (0.921, 0.603, 0.682)
O (0.762, 0.079, 0.682)
O (0.500, 0.707, 0.793)
O (0.914, 0.707, 0.207)
O (0.397, 0.079, 0.318)
O (0.921, 0.238, 0.318)
O (0.293, 0.500, 0.207)
O (0.293, 0.086, 0.793)
Mn (0.750, 0.250, 0.500)
Mn (0.500, 0.500, 0.000)
Y (0.000, 0.000, 0.000)
Pu (0.250, 0.750, 0.500)